The following is a DFT calculation (PBE) of an optimized crystal structure of Hf27Si6P10.

ΔE_f (raw) in eV/atom: -0.95
M_tot in μB per formula unit: 0.0
VASP energy in eV/cell: -396.119
DOS at the Fermi energy in states/eV per cell: 25.9

Cell lengths 3.5941, 15.0039, 15.0039 Å; angles 77.34, 83.12, 83.12 degrees
Last column: nearest neighbours and their distance in Å.
Sites, in units of the cell vectors:
Hf (0.0000, 0.5832, 0.4168)  6 P 2.68-2.76
Hf (0.0000, 0.0000, 0.0000)  2 P 2.62, 2 Si 2.86
Hf (0.8172, 0.3135, 0.0520)  1 P 2.61, 3 Si 2.67-2.81
Hf (0.2164, 0.4675, 0.0997)  2 P 2.72, 2 Si 2.76
Hf (0.7173, 0.7827, 0.7827)  4 P 2.79, 2 Si 2.81
Hf (0.6083, 0.2616, 0.5219)  3 P 2.65-2.74, 1 Si 2.84
Hf (0.8540, 0.6460, 0.6460)  6 P 2.68-2.77
Hf (0.7836, 0.9003, 0.5325)  2 P 2.72, 2 Si 2.76
Hf (0.0704, 0.6819, 0.1773)  3 P 2.60-2.70, 2 Si 2.72
Hf (0.1828, 0.6865, 0.9480)  1 P 2.61, 3 Si 2.67-2.81
Hf (0.5784, 0.8241, 0.0191)  2 P 2.68, 2 Si 2.77
Hf (0.6083, 0.5219, 0.2616)  3 P 2.65-2.74, 1 Si 2.84
Hf (0.9296, 0.8227, 0.3181)  3 P 2.60-2.70, 2 Si 2.72
Hf (0.5784, 0.0191, 0.8241)  2 P 2.68, 2 Si 2.77
Hf (0.3917, 0.4781, 0.7384)  3 P 2.65-2.74, 1 Si 2.84
Hf (0.4216, 0.1759, 0.9809)  2 P 2.68, 2 Si 2.77
Hf (0.1460, 0.3540, 0.3540)  6 P 2.68-2.77
Hf (0.0704, 0.1773, 0.6819)  3 P 2.60-2.70, 2 Si 2.72
Hf (0.3917, 0.7384, 0.4781)  3 P 2.65-2.74, 1 Si 2.84
Hf (0.4216, 0.9809, 0.1759)  2 P 2.68, 2 Si 2.77
Hf (0.0000, 0.4168, 0.5832)  6 P 2.68-2.76
Hf (0.2827, 0.2173, 0.2173)  4 P 2.79, 2 Si 2.81
Hf (0.9296, 0.3181, 0.8227)  3 P 2.60-2.70, 2 Si 2.72
Hf (0.1828, 0.9480, 0.6865)  1 P 2.61, 3 Si 2.67-2.81
Hf (0.7836, 0.5325, 0.9003)  2 P 2.72, 2 Si 2.76
Hf (0.8172, 0.0520, 0.3135)  1 P 2.61, 3 Si 2.67-2.81
Hf (0.2164, 0.0997, 0.4675)  2 P 2.72, 2 Si 2.76
P (0.5000, 0.6890, 0.3110)  8 Hf 2.68-2.74
P (0.5600, 0.4400, 0.4400)  8 Hf 2.68-2.76, 1 P 2.78
P (0.4400, 0.5600, 0.5600)  8 Hf 2.68-2.76, 1 P 2.78
P (0.5000, 0.3110, 0.6890)  8 Hf 2.68-2.74
P (0.7139, 0.2108, 0.3614)  8 Hf 2.61-2.79, 1 P 2.82
P (0.2861, 0.6386, 0.7892)  8 Hf 2.61-2.79, 1 P 2.82
P (0.2861, 0.7892, 0.6386)  8 Hf 2.61-2.79, 1 P 2.82
P (0.0000, 0.8600, 0.1400)  7 Hf 2.60-2.68
P (0.7139, 0.3614, 0.2108)  8 Hf 2.61-2.79, 1 P 2.82
P (0.0000, 0.1400, 0.8600)  7 Hf 2.60-2.68
Si (0.1237, 0.8763, 0.8763)  9 Hf 2.77-2.86
Si (0.3424, 0.3888, 0.9265)  7 Hf 2.67-2.84
Si (0.6576, 0.0735, 0.6112)  7 Hf 2.67-2.84
Si (0.3424, 0.9265, 0.3888)  7 Hf 2.67-2.84
Si (0.8763, 0.1237, 0.1237)  9 Hf 2.77-2.86
Si (0.6576, 0.6112, 0.0735)  7 Hf 2.67-2.84